[1]
Computed, not measured: TlCu2Pb after structural relaxation at the PBE-GGA level of DFT.

Geometry as extended XYZ:
```
4
Lattice="3.4247 -3.4159 0.0000 3.4247 3.4159 0.0000 -0.3638 0.0000 3.5219" Properties=species:S:1:pos:R:3 pbc="T T T"
Tl 0.0000 0.0000 0.0000
Cu 1.5305 1.7079 1.7610
Cu 1.5305 -1.7079 1.7610
Pb 3.4247 0.0000 0.0000
```

Summary:
Volume: 20.60 Å³/atom
Energy: -13.0 eV/cell
Formation enthalpy at 0 K: 328 meV/atom
SG: C2/m (12)

[2]
Computed, not measured: Tl2Cu2Pb after structural relaxation at the PBE-GGA level of DFT.

Geometry as extended XYZ:
```
10
Lattice="7.3858 0.0000 0.0000 0.0000 7.3858 0.0000 0.0000 0.0000 4.1422" Properties=species:S:1:pos:R:3 pbc="T T T"
Tl 1.2431 2.4498 0.0000
Tl 2.4498 6.1427 0.0000
Tl 4.9360 1.2431 0.0000
Tl 6.1427 4.9360 0.0000
Cu 0.8900 4.5829 2.0711
Cu 2.8029 0.8900 2.0711
Cu 4.5829 6.4958 2.0711
Cu 6.4958 2.8029 2.0711
Pb 0.0000 0.0000 2.0711
Pb 3.6929 3.6929 2.0711
```

Summary:
Volume: 22.60 Å³/atom
Excess energy over the best structure of this formula in the dataset: 25 meV/atom
Energy: -30.9 eV/cell
Formation enthalpy at 0 K: 233 meV/atom
SG: P4/mbm (127)

[3]
Computed, not measured: TlCu2Pb after structural relaxation at the PBE-GGA level of DFT.

Geometry as extended XYZ:
```
4
Lattice="3.8133 0.0000 0.0000 0.0000 4.2516 0.0000 -1.8660 0.0000 5.0802" Properties=species:S:1:pos:R:3 pbc="T T T"
Tl 0.0000 0.0000 0.0000
Cu 1.8974 2.1258 0.7660
Cu 1.9017 0.0000 2.1815
Pb -0.0197 2.1258 2.9504
```

Summary:
Volume: 20.59 Å³/atom
Energy: -13.5 eV/cell
Formation enthalpy at 0 K: 197 meV/atom
SG: Pm (6)

[4]
Computed, not measured: TlCuPb4 after structural relaxation at the PBE-GGA level of DFT.

Geometry as extended XYZ:
```
6
Lattice="0.0000 4.5849 4.5849 4.5849 0.0000 4.5849 4.5849 4.5849 0.0000" Properties=species:S:1:pos:R:3 pbc="T T T"
Tl 0.0000 0.0000 0.0000
Cu 6.8773 6.8773 6.8773
Pb 3.4417 3.4417 3.4417
Pb 5.7281 5.7281 3.4417
Pb 5.7281 3.4417 5.7281
Pb 3.4417 5.7281 5.7281
```

Summary:
Volume: 32.13 Å³/atom
Energy: -18.9 eV/cell
Formation enthalpy at 0 K: 393 meV/atom
SG: F-43m (216)

[5]
Computed, not measured: Tl2CuPb after structural relaxation at the PBE-GGA level of DFT.

Geometry as extended XYZ:
```
4
Lattice="3.0776 -5.6690 0.0000 3.0776 5.6690 0.0000 -1.9042 0.0000 3.0831" Properties=species:S:1:pos:R:3 pbc="T T T"
Tl 1.5388 2.8345 0.0000
Tl 1.5388 -2.8345 0.0000
Cu -0.9521 0.0000 1.5416
Pb 2.1255 0.0000 1.5416
```

Summary:
Volume: 26.90 Å³/atom
Energy: -11.3 eV/cell
Formation enthalpy at 0 K: 317 meV/atom
SG: C2/m (12)

[6]
Computed, not measured: TlCu2Pb after structural relaxation at the PBE-GGA level of DFT.

Geometry as extended XYZ:
```
4
Lattice="3.2758 0.0000 0.0000 0.0000 3.2758 0.0000 0.0000 0.0000 7.9129" Properties=species:S:1:pos:R:3 pbc="T T T"
Tl 0.0000 0.0000 0.0000
Cu 0.0000 0.0000 2.9691
Cu 1.6379 1.6379 1.9669
Pb 1.6379 1.6379 4.9295
```

Summary:
Volume: 21.23 Å³/atom
Energy: -13.5 eV/cell
Formation enthalpy at 0 K: 196 meV/atom
SG: P4mm (99)